Entry 1:
The following is a DFT calculation (PBE) of a geometry-optimized YHo2Ag structure. Values from VASP.

```
&SYSTEM
  ibrav = 0, nat = 4, ntyp = 3
/
ATOMIC_SPECIES
Ag 107.87 Ag.upf
Ho 164.93 Ho.upf
Y 88.91 Y.upf
ATOMIC_POSITIONS crystal
Ag 0.667 0.667 0.000
Ho 0.074 0.074 0.777
Y 0.500 0.500 0.500
Ho 0.259 0.259 0.223
CELL_PARAMETERS angstrom
3.593 0.001 0.000
1.797 3.111 0.000
1.797 1.038 10.295
```

SG ... R3m
M_tot ... 0.2 μB per cell
DOS(E_F) ... 5.7 states/eV/cell
DFT formation energy ... -0.049 eV per formula unit
Theoretical density ... 7.60 g cm⁻³
Distance to the lowest polymorph of the same formula ... 122.3 meV per atom

Entry 2:
The following is a DFT calculation (PBE) of a geometry-optimized LiMn3Se structure. Values from VASP.

```
&SYSTEM
  ibrav = 0, nat = 5, ntyp = 3
/
ATOMIC_SPECIES
Mn 54.94 Mn.upf
Li 6.94 Li.upf
Se 78.96 Se.upf
ATOMIC_POSITIONS crystal
Mn 0.000 0.500 0.000
Li 0.500 0.500 0.500
Se 0.000 0.000 0.000
Mn 0.500 0.000 0.000
Mn 0.000 0.000 0.500
CELL_PARAMETERS angstrom
-0.231 0.654 4.564
-4.165 -1.991 0.075
1.979 -4.114 0.690
```

Formation energy (no corrections) ... 0.50 eV per atom
SG ... Pm-3m
M_tot ... 10.1 μB per cell
DOS(E_F) ... 1.5 states/eV/cell
Theoretical density ... 4.23 g cm⁻³
Distance to the lowest polymorph of the same formula ... 0.0 meV per atom

Entry 3:
The following is a DFT calculation (PBE) of a geometry-optimized Ba8Te3AuI4 structure. Values from VASP.

```
&SYSTEM
  ibrav = 0, nat = 16, ntyp = 4
/
ATOMIC_SPECIES
Ba 137.33 Ba.upf
I 126.90 I.upf
Te 127.60 Te.upf
Au 196.97 Au.upf
ATOMIC_POSITIONS crystal
Ba 0.234 0.722 0.988
Ba 0.743 0.730 0.487
I 0.000 0.000 0.500
Ba 0.246 0.278 0.012
I 0.500 0.000 0.000
I 0.500 0.000 0.500
Ba 0.766 0.278 0.012
Te 0.500 0.500 0.500
Ba 0.754 0.722 0.988
Ba 0.766 0.278 0.532
Ba 0.234 0.722 0.468
I 0.000 0.000 0.000
Te 0.500 0.500 0.000
Au 0.000 0.500 0.000
Ba 0.257 0.270 0.513
Te 0.000 0.500 0.500
CELL_PARAMETERS angstrom
9.997 0.000 0.000
0.000 10.034 0.019
-4.998 -4.993 7.071
```

Formation energy (no corrections) ... -1.43 eV per atom
SG ... R-3m
M_tot ... 2.6 μB per cell
DOS(E_F) ... 8.9 states/eV/cell
Theoretical density ... 5.11 g cm⁻³

Entry 4:
The following is a DFT calculation (PBE) of a geometry-optimized Ba4ZnP structure. Values from VASP.

```
&SYSTEM
  ibrav = 0, nat = 6, ntyp = 3
/
ATOMIC_SPECIES
Ba 137.33 Ba.upf
Zn 65.41 Zn.upf
P 30.97 P.upf
ATOMIC_POSITIONS crystal
Ba 0.376 0.376 0.871
Zn 0.000 0.000 0.000
P 0.750 0.750 0.750
Ba 0.871 0.376 0.376
Ba 0.376 0.376 0.376
Ba 0.376 0.871 0.376
CELL_PARAMETERS angstrom
0.000 5.010 5.010
5.010 0.000 5.010
5.010 5.010 0.000
```

SG ... F-43m
M_tot ... 1.5 μB per cell
DOS(E_F) ... 7.6 states/eV/cell
DFT formation energy ... 3.077 eV per formula unit
Theoretical density ... 4.26 g cm⁻³

Entry 5:
The following is a DFT calculation (PBE) of a geometry-optimized Ac3NdInNi structure. Values from VASP.

```
&SYSTEM
  ibrav = 0, nat = 12, ntyp = 4
/
ATOMIC_SPECIES
In 114.82 In.upf
Ac 227.00 Ac.upf
Ni 58.69 Ni.upf
Nd 144.24 Nd.upf
ATOMIC_POSITIONS crystal
In 0.312 0.312 0.313
Ac 0.863 0.371 0.113
Ni 0.002 0.002 0.200
Ac 0.629 0.137 0.887
In 0.688 0.688 0.687
Ac 0.812 0.812 0.320
Ni 0.998 0.998 0.800
Nd 0.263 0.737 0.500
Ac 0.188 0.188 0.680
Ac 0.137 0.629 0.887
Ac 0.371 0.863 0.113
Nd 0.737 0.263 0.500
CELL_PARAMETERS angstrom
-3.436 -3.767 -8.221
-1.346 -9.024 -3.217
-4.931 1.644 3.787
```

SG ... C2/m
M_tot ... 0.0 μB per cell
DOS(E_F) ... 12.7 states/eV/cell
DFT formation energy ... -1.299 eV per formula unit
Theoretical density ... 8.20 g cm⁻³

Entry 6:
The following is a DFT calculation (PBE) of a geometry-optimized LiHf2Ti structure. Values from VASP.

```
&SYSTEM
  ibrav = 0, nat = 8, ntyp = 3
/
ATOMIC_SPECIES
Hf 178.49 Hf.upf
Li 6.94 Li.upf
Ti 47.87 Ti.upf
ATOMIC_POSITIONS crystal
Hf 0.121 0.625 0.250
Hf 0.875 0.879 0.750
Li 0.250 0.750 0.500
Li 0.500 0.500 0.000
Hf 0.375 0.371 0.750
Hf 0.629 0.125 0.250
Ti 0.750 0.250 0.500
Ti 0.000 0.000 0.000
CELL_PARAMETERS angstrom
-0.202 -2.416 3.265
2.998 -2.294 -1.512
8.068 3.320 5.489
```

SG ... I-42d
M_tot ... 0.0 μB per cell
DOS(E_F) ... 13.4 states/eV/cell
DFT formation energy ... 2.769 eV per formula unit
Theoretical density ... 8.35 g cm⁻³

Entry 7:
The following is a DFT calculation (PBE) of a geometry-optimized KLi3As structure. Values from VASP.

```
&SYSTEM
  ibrav = 0, nat = 5, ntyp = 3
/
ATOMIC_SPECIES
Li 6.94 Li.upf
K 39.10 K.upf
As 74.92 As.upf
ATOMIC_POSITIONS crystal
Li 0.000 0.000 0.500
K 0.500 0.500 0.500
Li 0.000 0.500 0.000
As 0.000 0.000 0.000
Li 0.500 0.000 0.000
CELL_PARAMETERS angstrom
5.042 0.000 0.000
0.000 5.042 0.000
0.000 0.000 5.042
```

SG ... Pm-3m
M_tot ... 0.0 μB per cell
DOS(E_F) ... 2.1 states/eV/cell
DFT formation energy ... -1.882 eV per formula unit
Theoretical density ... 1.75 g cm⁻³
Distance to the lowest polymorph of the same formula ... 0.0 meV per atom

Entry 8:
The following is a DFT calculation (PBE) of a geometry-optimized Pu3Al8Ga3 structure. Values from VASP.

```
&SYSTEM
  ibrav = 0, nat = 14, ntyp = 3
/
ATOMIC_SPECIES
Al 26.98 Al.upf
Ga 69.72 Ga.upf
Pu 244.00 Pu.upf
ATOMIC_POSITIONS crystal
Al 0.356 0.917 0.372
Ga 0.000 0.200 0.800
Ga 0.000 0.800 0.200
Al 0.845 0.780 0.530
Al 0.155 0.470 0.220
Al 0.356 0.372 0.917
Pu 0.190 0.810 0.810
Pu 0.810 0.190 0.190
Al 0.644 0.083 0.628
Al 0.845 0.530 0.780
Al 0.644 0.628 0.083
Ga 0.500 0.000 0.000
Al 0.155 0.220 0.470
Pu 0.500 0.500 0.500
CELL_PARAMETERS angstrom
-1.614 -1.702 -3.660
-2.012 -7.773 1.919
-8.202 0.316 0.888
```

SG ... Immm
M_tot ... 17.1 μB per cell
DOS(E_F) ... 26.2 states/eV/cell
DFT formation energy ... -3.575 eV per formula unit
Theoretical density ... 7.07 g cm⁻³

Entry 9:
The following is a DFT calculation (PBE) of a geometry-optimized SmEuCuPt structure. Values from VASP.

```
&SYSTEM
  ibrav = 0, nat = 4, ntyp = 4
/
ATOMIC_SPECIES
Cu 63.55 Cu.upf
Pt 195.08 Pt.upf
Sm 150.36 Sm.upf
Eu 151.96 Eu.upf
ATOMIC_POSITIONS crystal
Cu 0.250 0.250 0.250
Pt 0.750 0.750 0.750
Sm 0.500 0.500 0.500
Eu 0.000 0.000 0.000
CELL_PARAMETERS angstrom
5.053 0.000 0.000
2.527 4.376 0.000
2.527 1.459 4.126
```

SG ... F-43m
M_tot ... 7.0 μB per cell
DOS(E_F) ... 6.9 states/eV/cell
DFT formation energy ... -2.339 eV per formula unit
Theoretical density ... 10.21 g cm⁻³

Entry 10:
The following is a DFT calculation (PBE) of a geometry-optimized AcNdCuRu structure. Values from VASP.

```
&SYSTEM
  ibrav = 0, nat = 4, ntyp = 4
/
ATOMIC_SPECIES
Ru 101.07 Ru.upf
Nd 144.24 Nd.upf
Cu 63.55 Cu.upf
Ac 227.00 Ac.upf
ATOMIC_POSITIONS crystal
Ru 0.750 0.750 0.750
Nd 0.500 0.500 0.500
Cu 0.250 0.250 0.250
Ac 0.000 0.000 0.000
CELL_PARAMETERS angstrom
5.146 0.000 0.000
2.573 4.457 0.000
2.573 1.486 4.202
```

SG ... F-43m
M_tot ... 0.0 μB per cell
DOS(E_F) ... 2.1 states/eV/cell
DFT formation energy ... -0.381 eV per formula unit
Theoretical density ... 9.23 g cm⁻³
Distance to the lowest polymorph of the same formula ... 44.8 meV per atom

Entry 11:
The following is a DFT calculation (PBE) of a geometry-optimized AgRuPt2 structure. Values from VASP.

```
&SYSTEM
  ibrav = 0, nat = 4, ntyp = 3
/
ATOMIC_SPECIES
Ru 101.07 Ru.upf
Pt 195.08 Pt.upf
Ag 107.87 Ag.upf
ATOMIC_POSITIONS crystal
Ru 0.500 0.500 0.000
Pt 0.250 0.750 0.500
Ag 0.750 0.250 0.500
Pt 0.000 0.000 0.000
CELL_PARAMETERS angstrom
-1.543 4.210 -1.816
-4.734 -0.337 -0.933
2.562 -1.027 3.973
```

SG ... I-4m2
M_tot ... 0.0 μB per cell
DOS(E_F) ... 4.3 states/eV/cell
DFT formation energy ... 0.904 eV per formula unit
Theoretical density ... 15.98 g cm⁻³
Distance to the lowest polymorph of the same formula ... 198.1 meV per atom

Entry 12:
The following is a DFT calculation (PBE) of a geometry-optimized DyYAg2 structure. Values from VASP.

```
&SYSTEM
  ibrav = 0, nat = 4, ntyp = 3
/
ATOMIC_SPECIES
Ag 107.87 Ag.upf
Dy 162.50 Dy.upf
Y 88.91 Y.upf
ATOMIC_POSITIONS crystal
Ag 0.000 0.500 0.000
Dy 0.500 0.000 0.000
Ag 0.000 0.000 0.500
Y 0.500 0.500 0.500
CELL_PARAMETERS angstrom
-2.245 -1.346 -2.494
-2.680 -2.404 3.709
-3.039 4.152 0.496
```

SG ... P4/mmm
M_tot ... 0.0 μB per cell
DOS(E_F) ... 2.3 states/eV/cell
DFT formation energy ... -1.300 eV per formula unit
Theoretical density ... 8.03 g cm⁻³
Distance to the lowest polymorph of the same formula ... 0.0 meV per atom

Entry 13:
The following is a DFT calculation (PBE) of a geometry-optimized GdMgZr2 structure. Values from VASP.

```
&SYSTEM
  ibrav = 0, nat = 4, ntyp = 3
/
ATOMIC_SPECIES
Mg 24.30 Mg.upf
Zr 91.22 Zr.upf
Gd 157.25 Gd.upf
ATOMIC_POSITIONS crystal
Mg 0.000 0.000 0.000
Zr 0.251 0.251 0.246
Gd 0.500 0.500 0.500
Zr 0.749 0.749 0.754
CELL_PARAMETERS angstrom
-2.197 -1.756 -1.632
-1.766 -2.245 1.554
-8.880 6.113 2.139
```

SG ... R-3m
M_tot ... 7.0 μB per cell
DOS(E_F) ... 4.6 states/eV/cell
DFT formation energy ... 0.518 eV per formula unit
Theoretical density ... 6.10 g cm⁻³
Distance to the lowest polymorph of the same formula ... 30.3 meV per atom

Entry 14:
The following is a DFT calculation (PBE) of a geometry-optimized SmY2Ho4Er2 structure. Values from VASP.

```
&SYSTEM
  ibrav = 0, nat = 9, ntyp = 4
/
ATOMIC_SPECIES
Y 88.91 Y.upf
Sm 150.36 Sm.upf
Ho 164.93 Ho.upf
Er 167.26 Er.upf
ATOMIC_POSITIONS crystal
Y 0.731 0.342 0.403
Y 0.269 0.658 0.597
Sm 0.000 0.000 0.000
Ho 0.730 0.881 0.192
Er 0.817 0.445 0.036
Er 0.183 0.555 0.964
Ho 0.623 0.759 0.509
Ho 0.377 0.241 0.491
Ho 0.270 0.119 0.808
CELL_PARAMETERS angstrom
-4.497 -2.710 4.146
2.810 -6.266 7.003
2.072 6.301 0.008
```

SG ... P-1
M_tot ... 0.0 μB per cell
DOS(E_F) ... 16.4 states/eV/cell
DFT formation energy ... 0.769 eV per formula unit
Theoretical density ... 7.66 g cm⁻³

Entry 15:
The following is a DFT calculation (PBE) of a geometry-optimized Tb2HgPt structure. Values from VASP.

```
&SYSTEM
  ibrav = 0, nat = 4, ntyp = 3
/
ATOMIC_SPECIES
Tb 158.93 Tb.upf
Pt 195.08 Pt.upf
Hg 200.59 Hg.upf
ATOMIC_POSITIONS crystal
Tb 0.250 0.250 0.250
Pt 0.000 0.000 0.000
Hg 0.500 0.500 0.500
Tb 0.750 0.750 0.750
CELL_PARAMETERS angstrom
5.113 0.000 0.000
2.557 4.428 0.000
2.557 1.476 4.175
```

SG ... Fm-3m
M_tot ... 0.0 μB per cell
DOS(E_F) ... 2.4 states/eV/cell
DFT formation energy ... -3.231 eV per formula unit
Theoretical density ... 12.54 g cm⁻³
Distance to the lowest polymorph of the same formula ... 47.3 meV per atom

Entry 16:
The following is a DFT calculation (PBE) of a geometry-optimized RbTbTl2 structure. Values from VASP.

```
&SYSTEM
  ibrav = 0, nat = 4, ntyp = 3
/
ATOMIC_SPECIES
Tl 204.38 Tl.upf
Tb 158.93 Tb.upf
Rb 85.47 Rb.upf
ATOMIC_POSITIONS crystal
Tl 0.000 0.000 0.197
Tl 0.000 0.000 0.803
Tb 0.500 0.500 0.000
Rb 0.500 0.500 0.500
CELL_PARAMETERS angstrom
-0.082 3.906 0.238
-1.035 0.208 -3.769
-8.642 -0.324 2.356
```

SG ... P4/mmm
M_tot ... 0.1 μB per cell
DOS(E_F) ... 2.6 states/eV/cell
DFT formation energy ... -0.718 eV per formula unit
Theoretical density ... 7.90 g cm⁻³
Distance to the lowest polymorph of the same formula ... 0.0 meV per atom

Entry 17:
The following is a DFT calculation (PBE) of a geometry-optimized PrErGaIr structure. Values from VASP.

```
&SYSTEM
  ibrav = 0, nat = 4, ntyp = 4
/
ATOMIC_SPECIES
Er 167.26 Er.upf
Pr 140.91 Pr.upf
Ga 69.72 Ga.upf
Ir 192.22 Ir.upf
ATOMIC_POSITIONS crystal
Er 0.750 0.750 0.750
Pr 0.250 0.250 0.250
Ga 0.500 0.500 0.500
Ir 0.000 0.000 0.000
CELL_PARAMETERS angstrom
5.043 0.000 0.000
2.521 4.367 0.000
2.521 1.456 4.117
```

SG ... F-43m
M_tot ... 0.0 μB per cell
DOS(E_F) ... 3.5 states/eV/cell
DFT formation energy ... -2.278 eV per formula unit
Theoretical density ... 10.44 g cm⁻³
Distance to the lowest polymorph of the same formula ... 107.0 meV per atom

Entry 18:
The following is a DFT calculation (PBE) of a geometry-optimized Ti2GaI structure. Values from VASP.

```
&SYSTEM
  ibrav = 0, nat = 8, ntyp = 3
/
ATOMIC_SPECIES
I 126.90 I.upf
Ti 47.87 Ti.upf
Ga 69.72 Ga.upf
ATOMIC_POSITIONS crystal
I 0.750 0.250 0.500
I 0.000 0.000 0.000
Ti 0.178 0.625 0.250
Ga 0.250 0.750 0.500
Ti 0.875 0.822 0.750
Ti 0.572 0.125 0.250
Ga 0.500 0.500 0.000
Ti 0.375 0.428 0.750
CELL_PARAMETERS angstrom
5.779 0.000 0.000
0.000 5.779 0.000
2.889 2.889 6.503
```

Formation energy (no corrections) ... 0.54 eV per atom
SG ... I-42d
M_tot ... 0.0 μB per cell
DOS(E_F) ... 11.1 states/eV/cell
Theoretical density ... 4.47 g cm⁻³
Distance to the lowest polymorph of the same formula ... 377.1 meV per atom

Entry 19:
The following is a DFT calculation (PBE) of a geometry-optimized Ce2SnPb structure. Values from VASP.

```
&SYSTEM
  ibrav = 0, nat = 4, ntyp = 3
/
ATOMIC_SPECIES
Sn 118.71 Sn.upf
Ce 140.12 Ce.upf
Pb 207.20 Pb.upf
ATOMIC_POSITIONS crystal
Sn 0.500 0.500 0.500
Ce 0.750 0.750 0.750
Ce 0.250 0.250 0.250
Pb 0.000 0.000 0.000
CELL_PARAMETERS angstrom
-5.268 -1.517 -0.470
-1.320 -4.508 -2.865
-1.815 -4.489 2.615
```

SG ... Fm-3m
M_tot ... 2.8 μB per cell
DOS(E_F) ... 13.8 states/eV/cell
DFT formation energy ... -1.667 eV per formula unit
Theoretical density ... 8.54 g cm⁻³
Distance to the lowest polymorph of the same formula ... 76.8 meV per atom

Entry 20:
The following is a DFT calculation (PBE) of a geometry-optimized Ac2DyEr structure. Values from VASP.

```
&SYSTEM
  ibrav = 0, nat = 4, ntyp = 3
/
ATOMIC_SPECIES
Ac 227.00 Ac.upf
Dy 162.50 Dy.upf
Er 167.26 Er.upf
ATOMIC_POSITIONS crystal
Ac 0.000 0.000 0.752
Dy 0.500 0.500 0.500
Ac 0.000 0.000 0.248
Er 0.500 0.500 0.000
CELL_PARAMETERS angstrom
3.885 0.000 0.000
0.000 3.885 0.000
0.000 0.000 9.887
```

SG ... P4/mmm
M_tot ... 0.0 μB per cell
DOS(E_F) ... 5.6 states/eV/cell
DFT formation energy ... 0.220 eV per formula unit
Theoretical density ... 8.72 g cm⁻³
Distance to the lowest polymorph of the same formula ... 2.6 meV per atom